CaPrCd | PBE | relaxed

Computed properties:
* volume: 95.13 Å³ per cell
* SG: P3m1, No. 156
* E_form: -0.09 eV per atom
* VASP energy: -7.96 eV for the cell shown
* energy above the lowest structure with this stoichiometry: 113 meV/atom
* calculated density: 5.121 g cm⁻³

Cell lengths 3.7020, 5.4471, 5.4471 Å; angles 120.00, 90.00, 90.00 degrees
Fractional coordinates of all 3 atoms:
Pr 0.9645 0.0000 0.0000
Cd 0.6233 0.6667 0.3333
Ca 0.4121 0.3333 0.6667

CaPr2Cd5 | PBE | relaxed

Computed properties:
* volume: 213.85 Å³ per cell
* SG: I4/mmm, No. 139
* E_form: -0.29 eV per atom
* VASP energy: -18.47 eV for the cell shown
* calculated density: 6.864 g cm⁻³

Cell lengths 5.1378, 5.1378, 8.8785 Å; angles 106.82, 106.82, 90.00 degrees
Site moments in Bohr magnetons follow the coordinates.
Fractional coordinates of all 8 atoms:
Pr 0.2626 0.2626 0.5252  0.08
Cd 0.5000 0.5000 0.0000  0.00
Cd 0.1159 0.6159 0.2318  0.00
Cd 0.6159 0.1159 0.2318  0.00
Cd 0.3841 0.8841 0.7682  0.00
Pr 0.7374 0.7374 0.4748  0.08
Ca 0.0000 0.0000 0.0000  0.00
Cd 0.8841 0.3841 0.7682  0.00

Ca2Pr3Cd3 | PBE | relaxed

Computed properties:
* volume: 254.20 Å³ per cell
* SG: Immm, No. 71
* E_form: -0.20 eV per atom
* VASP energy: -22.69 eV for the cell shown
* calculated density: 5.488 g cm⁻³

Cell lengths 3.8591, 5.6343, 12.1795 Å; angles 103.37, 99.12, 90.00 degrees
Site moments in Bohr magnetons follow the coordinates.
Fractional coordinates of all 8 atoms:
Ca 0.7282 0.2282 0.4565  0.05
Cd 0.0000 0.5000 0.0000  0.01
Pr 0.5000 0.0000 0.0000  0.15
Ca 0.2718 0.7718 0.5435  0.05
Cd 0.1157 0.1157 0.2315  0.01
Cd 0.8843 0.8843 0.7685  0.01
Pr 0.6172 0.6172 0.2345  0.16
Pr 0.3828 0.3828 0.7655  0.16

Ca2PrCd4 | PBE | relaxed

Computed properties:
* volume: 213.96 Å³ per cell
* SG: I4/mmm, No. 139
* E_form: -0.18 eV per atom
* VASP energy: -13.74 eV for the cell shown
* calculated density: 5.205 g cm⁻³

Cell lengths 5.5991, 5.5991, 7.8902 Å; angles 110.78, 110.78, 90.00 degrees
Fractional coordinates of all 7 atoms:
Ca 0.7346 0.7346 0.4691
Cd 0.6177 0.1177 0.2354
Pr 0.0000 0.0000 0.0000
Ca 0.2654 0.2654 0.5309
Cd 0.3823 0.8823 0.7646
Cd 0.8823 0.3823 0.7646
Cd 0.1177 0.6177 0.2354

Ca5PrCd6 | PBE | relaxed

Computed properties:
* volume: 341.56 Å³ per cell
* SG: Cmmm, No. 65
* E_form: -0.36 eV per atom
* VASP energy: -24.63 eV for the cell shown
* calculated density: 4.938 g cm⁻³

Cell lengths 5.4411, 7.7129, 8.5814 Å; angles 90.00, 71.52, 90.00 degrees
Fractional coordinates of all 12 atoms:
Ca 0.0000 0.5000 0.0000
Ca 0.3339 0.5000 0.3322
Cd 0.1669 0.7507 0.6662
Cd 0.5000 0.2485 0.0000
Pr 0.0000 0.0000 0.0000
Cd 0.8331 0.2493 0.3338
Ca 0.6673 0.0000 0.6654
Cd 0.8331 0.7507 0.3338
Ca 0.3327 0.0000 0.3346
Ca 0.6661 0.5000 0.6678
Cd 0.1669 0.2493 0.6662
Cd 0.5000 0.7515 0.0000

CaPr4Cd4 | PBE | relaxed

Computed properties:
* volume: 554.64 Å³ per cell
* SG: P4_2/n, No. 86
* E_form: -0.14 eV per atom
* VASP energy: -52.16 eV for the cell shown
* calculated density: 6.307 g cm⁻³

Cell lengths 5.8546, 9.7333, 9.7333 Å; angles 90.00, 90.00, 90.00 degrees
Fractional coordinates of all 18 atoms:
Cd 0.4010 0.8060 0.8957
Pr 0.6027 0.8451 0.5816
Pr 0.3973 0.4184 0.8451
Ca 0.0000 0.0000 0.0000
Pr 0.8973 0.3451 0.0816
Pr 0.6027 0.1549 0.4184
Cd 0.0990 0.3060 0.3957
Pr 0.8973 0.6549 0.9184
Cd 0.9010 0.6043 0.3060
Ca 0.5000 0.5000 0.5000
Cd 0.5990 0.8957 0.1940
Cd 0.0990 0.6940 0.6043
Cd 0.9010 0.3957 0.6940
Cd 0.4010 0.1940 0.1043
Pr 0.1027 0.0816 0.6549
Cd 0.5990 0.1043 0.8060
Pr 0.1027 0.9184 0.3451
Pr 0.3973 0.5816 0.1549

CaPrCd4 | PBE | relaxed

Computed properties:
* volume: 184.42 Å³ per cell
* SG: P2/m, No. 10
* E_form: -0.04 eV per atom
* VASP energy: -10.69 eV for the cell shown
* energy above the lowest structure with this stoichiometry: 299 meV/atom
* calculated density: 5.678 g cm⁻³

Cell lengths 4.6288, 10.1724, 3.9166 Å; angles 89.95, 90.00, 90.00 degrees
Fractional coordinates of all 6 atoms:
Ca 0.5000 0.5000 0.5000
Cd 0.0000 0.2648 0.4997
Cd 0.0000 0.7352 0.5003
Cd 0.5000 0.2330 0.0004
Cd 0.5000 0.7670 0.9996
Pr 0.0000 0.0000 0.0000

CaPrCd | PBE | relaxed

Computed properties:
* volume: 301.12 Å³ per cell
* SG: P-62m, No. 189
* E_form: -0.17 eV per atom
* VASP energy: -24.65 eV for the cell shown
* energy above the lowest structure with this stoichiometry: 28 meV/atom
* calculated density: 4.854 g cm⁻³

Cell lengths 4.9976, 8.3411, 8.3411 Å; angles 120.00, 90.00, 90.00 degrees
Fractional coordinates of all 9 atoms:
Ca 0.0000 0.5863 0.5863
Cd 0.0000 0.0000 0.0000
Pr 0.5000 0.2494 0.2494
Pr 0.5000 0.0000 0.7506
Cd 0.5000 0.6667 0.3333
Ca 0.0000 0.4137 0.0000
Ca 0.0000 0.0000 0.4137
Cd 0.5000 0.3333 0.6667
Pr 0.5000 0.7506 0.0000

CaPr6Cd | PBE | relaxed

Computed properties:
* volume: 277.73 Å³ per cell
* SG: P-1, No. 2
* E_form: 0.04 eV per atom
* VASP energy: -31.24 eV for the cell shown
* calculated density: 5.967 g cm⁻³

Cell lengths 8.7806, 9.7652, 6.5679 Å; angles 41.95, 48.00, 56.10 degrees
Fractional coordinates of all 8 atoms:
Cd 0.0000 0.0000 0.0000
Pr 0.5375 0.2343 0.2777
Pr 0.0488 0.4621 0.2549
Pr 0.2343 0.0491 0.1784
Pr 0.4625 0.7657 0.7223
Pr 0.9512 0.5379 0.7451
Pr 0.7657 0.9509 0.8216
Ca 0.5000 0.5000 0.5000

Ca6PrCd2 | PBE | relaxed

Computed properties:
* volume: 319.74 Å³ per cell
* SG: C2/m, No. 12
* E_form: -0.12 eV per atom
* VASP energy: -19.73 eV for the cell shown
* calculated density: 3.148 g cm⁻³

Cell lengths 3.8811, 7.0325, 12.5806 Å; angles 76.75, 81.13, 73.98 degrees
Site moments in Bohr magnetons follow the coordinates.
Fractional coordinates of all 9 atoms:
Ca 0.3173 0.4863 0.8791  0.01
Ca 0.0354 0.2515 0.6777  0.00
Ca 0.6827 0.5137 0.1209  0.01
Ca 0.9646 0.7485 0.3223  0.00
Ca 0.3236 0.7622 0.5905  0.00
Ca 0.6764 0.2378 0.4095  0.00
Cd 0.3403 0.1179 0.2015  0.00
Pr 0.0000 0.0000 0.0000  0.06
Cd 0.6597 0.8821 0.7985  0.00

Ca4PrCd5 | PBE | relaxed

Computed properties:
* volume: 285.01 Å³ per cell
* SG: P4/mmm, No. 123
* E_form: -0.35 eV per atom
* VASP energy: -20.87 eV for the cell shown
* calculated density: 5.030 g cm⁻³

Cell lengths 3.8414, 3.8414, 19.3147 Å; angles 90.00, 90.00, 90.00 degrees
Site moments in Bohr magnetons follow the coordinates.
Fractional coordinates of all 10 atoms:
Ca 0.0000 0.0000 0.4002  0.00
Cd 0.5000 0.5000 0.1023  0.00
Cd 0.5000 0.5000 0.8977  0.00
Cd 0.5000 0.5000 0.3013  0.00
Cd 0.5000 0.5000 0.5000  0.00
Pr 0.0000 0.0000 0.0000  0.12
Ca 0.0000 0.0000 0.7978  0.00
Ca 0.0000 0.0000 0.5998  0.00
Cd 0.5000 0.5000 0.6987  0.00
Ca 0.0000 0.0000 0.2022  0.00

CaPrCd | PBE | relaxed

Computed properties:
* volume: 96.97 Å³ per cell
* SG: I4mm, No. 107
* E_form: -0.19 eV per atom
* VASP energy: -8.28 eV for the cell shown
* energy above the lowest structure with this stoichiometry: 8 meV/atom
* calculated density: 5.024 g cm⁻³

Cell lengths 3.7364, 3.7364, 7.4316 Å; angles 104.56, 104.56, 90.00 degrees
Fractional coordinates of all 3 atoms:
Pr 0.3118 0.3118 0.6236
Cd 0.6658 0.6658 0.3317
Ca 0.0223 0.0223 0.0447